1.
Density functional theory data (PBE) for Ac3LaPm2 after structural relaxation.

Density of states at the Fermi level   8.6 states/eV/f.u.
Crystal system   monoclinic
E_form   96 meV/atom

```
12
Lattice="-5.436 3.381 -3.371 -0.249 -6.057 -3.949 -7.116 -4.192 4.578" Properties=species:S:1:pos:R:3 pbc="T T T"
Ac -4.914 -1.853 -2.483
Ac -7.887 -5.014 -0.260
Ac -10.999 -6.972 -1.325
Ac -4.512 -3.536 0.777
Ac -8.289 -3.332 -3.520
Ac -1.802 0.105 -1.417
La -6.213 -8.059 -0.446
La -6.588 1.192 -2.296
Pm -7.783 -1.244 0.281
Pm -1.657 -3.820 -2.294
Pm -11.144 -3.047 -0.449
Pm -5.018 -5.623 -3.024
```

***

2.
Density functional theory data (PBE) for ScAu after structural relaxation.

Density of states at the Fermi level   0.6 states/eV/f.u.
Crystal system   cubic
E_form   -123 meV/atom

```
2
Lattice="4.337 0.000 0.000 2.168 3.756 0.000 2.168 1.252 3.541" Properties=species:S:1:pos:R:3 pbc="T T T"
Au 0.000 0.000 0.000
Sc 2.168 1.252 0.885
```

***

3.
Density functional theory data (PBE) for SrNiRh2 after structural relaxation.

Density of states at the Fermi level   5.4 states/eV/f.u.
Crystal system   trigonal
E_form   -76 meV/atom

```
4
Lattice="-4.099 1.338 0.515 -3.242 -2.889 0.009 -1.966 -1.041 5.365" Properties=species:S:1:pos:R:3 pbc="T T T"
Ni -2.417 -0.549 0.491
Rh -1.969 -1.039 5.341
Rh -6.889 -2.044 5.404
Sr -4.651 -1.298 2.962
```

***

4.
Density functional theory data (PBE) for SbBr6 after structural relaxation.

Density of states at the Fermi level   3.1 states/eV/f.u.
E_form (uncorrected)   -0.285 eV/atom
Crystal system   orthorhombic

```
28
Lattice="-4.541 -7.106 -2.438 7.139 -4.765 0.589 -3.650 -3.402 16.711" Properties=species:S:1:pos:R:3 pbc="T T T"
Sb -1.408 -4.744 10.106
Sb 0.356 -10.529 4.757
Sb -1.020 -11.528 13.354
Sb -0.031 -3.744 1.509
Br -4.570 -9.867 6.985
Br 3.518 -5.406 7.877
Br -0.197 -10.064 15.218
Br -0.855 -5.209 -0.356
Br -3.818 -8.200 11.356
Br 2.766 -7.073 3.507
Br 2.106 -6.951 12.488
Br -3.157 -8.321 2.375
Br -0.315 -6.645 8.779
Br -0.737 -8.628 6.084
Br -3.502 -11.799 13.935
Br 2.365 -10.698 6.340
Br 2.450 -3.473 0.928
Br -3.417 -4.574 8.523
Br -0.652 -1.403 0.672
Br -0.399 -13.870 14.191
Br -0.023 -5.536 12.515
Br -1.029 -9.737 2.348
Br -1.635 -9.531 11.358
Br 1.881 -11.679 2.588
Br 0.584 -5.742 3.505
Br -2.933 -3.594 12.275
Br -2.326 -3.800 3.265
Br 1.275 -11.473 11.598
```